The following is a DFT calculation (PBEsol) of a relaxed TlReHg crystal.

a b c (Å): 2.8701 2.8701 14.5900
angles (deg): 90.00 90.00 90.00
Atoms (fractional coordinates):
Tl 0.0000 0.0000 0.0000
Tl 0.5000 0.5000 0.5000
Re 0.0000 0.0000 0.3405
Re 0.5000 0.5000 0.8405
Hg 0.0000 0.0000 0.6962
Hg 0.5000 0.5000 0.1962

Summary:
Its space-group type is I4mm. The value obtained for the formation energy is 23.11 kcal/mol of atoms. As for the volume: 20.0 Å³ per atom. The total magnetization comes out at 0.00 Bohr magnetons per cell. The density of states at the Fermi level comes out at 7.1 states/eV per cell. For the energy relative to the lowest polymorph listed for this composition, the calculation gives 0 meV/atom.